(1)
# AgSbAs, optimized geometry, DFT GGA-PBEsol
data_AgSbAs
_symmetry_space_group_name_H-M 'P 1'
_symmetry_Int_Tables_number 1
_symmetry_space_group_name_Hall 'P 1'
_cell_length_a 2.995
_cell_length_b 4.139
_cell_length_c 5.903
_cell_angle_alpha 110.52
_cell_angle_beta 104.69
_cell_angle_gamma 90.00
loop_
_atom_site_label
_atom_site_fract_x
_atom_site_fract_y
_atom_site_fract_z
Ag1 0.017 0.017 0.034
As1 0.624 0.624 0.248
Sb1 0.359 0.359 0.719
# Space group: No. 44
# Total energy, eV per atom: -4.091
# ΔE_f (raw), eV/atom: 0.23
# Calculated density, Mg/m³: 7.668
# ΔE to the lowest computed polymorph, meV per atom: 19


(2)
# ScAgAs, optimized geometry, DFT GGA-PBEsol
data_ScAgAs
_symmetry_space_group_name_H-M 'P 1'
_symmetry_Int_Tables_number 1
_symmetry_space_group_name_Hall 'P 1'
_cell_length_a 3.697
_cell_length_b 4.190
_cell_length_c 4.190
_cell_angle_alpha 120.00
_cell_angle_beta 90.00
_cell_angle_gamma 90.00
loop_
_atom_site_label
_atom_site_fract_x
_atom_site_fract_y
_atom_site_fract_z
As1 0.722 0.333 0.667
Ag1 0.923 0.000 0.000
Sc1 0.355 0.667 0.333
# Space group: No. 156
# Total energy, eV per atom: -5.548
# Calculated density, Mg/m³: 6.727


(3)
# ScAgAs2, optimized geometry, DFT GGA-PBEsol
data_ScAgAs2
_symmetry_space_group_name_H-M 'P 1'
_symmetry_Int_Tables_number 1
_symmetry_space_group_name_Hall 'P 1'
_cell_length_a 3.745
_cell_length_b 3.745
_cell_length_c 5.431
_cell_angle_alpha 90.00
_cell_angle_beta 90.00
_cell_angle_gamma 90.00
loop_
_atom_site_label
_atom_site_fract_x
_atom_site_fract_y
_atom_site_fract_z
As1 0.500 0.500 0.323
As2 0.000 0.000 0.925
Ag1 0.500 0.500 0.817
Sc1 0.000 0.000 0.435
# Space group: No. 99
# Total energy, eV per atom: -5.547
# Calculated density, Mg/m³: 6.598


(4)
# ScAgAs2, optimized geometry, DFT GGA-PBEsol
data_ScAgAs2
_symmetry_space_group_name_H-M 'P 1'
_symmetry_Int_Tables_number 1
_symmetry_space_group_name_Hall 'P 1'
_cell_length_a 4.478
_cell_length_b 4.478
_cell_length_c 8.943
_cell_angle_alpha 104.50
_cell_angle_beta 104.50
_cell_angle_gamma 90.00
loop_
_atom_site_label
_atom_site_fract_x
_atom_site_fract_y
_atom_site_fract_z
Ag1 0.000 0.000 0.000
Ag2 0.250 0.750 0.500
As1 0.625 0.628 0.750
As2 0.878 0.375 0.250
As3 0.125 0.122 0.750
As4 0.372 0.875 0.250
Sc1 0.500 0.500 0.000
Sc2 0.750 0.250 0.500
# Space group: No. 122
# Total energy, eV per atom: -5.252
# Calculated density, Mg/m³: 5.994


(5)
# ScAgAs2, optimized geometry, DFT GGA-PBEsol
data_ScAgAs2
_symmetry_space_group_name_H-M 'P 1'
_symmetry_Int_Tables_number 1
_symmetry_space_group_name_Hall 'P 1'
_cell_length_a 3.058
_cell_length_b 3.058
_cell_length_c 9.538
_cell_angle_alpha 80.78
_cell_angle_beta 80.78
_cell_angle_gamma 60.00
loop_
_atom_site_label
_atom_site_fract_x
_atom_site_fract_y
_atom_site_fract_z
As1 0.995 0.995 0.015
As2 0.756 0.756 0.731
Sc1 0.499 0.499 0.502
Ag1 0.249 0.249 0.252
# Space group: No. 160
# Total energy, eV per atom: -5.008
# Calculated density, Mg/m³: 6.623


(6)
# ScAgAs4, optimized geometry, DFT GGA-PBEsol
data_ScAgAs4
_symmetry_space_group_name_H-M 'P 1'
_symmetry_Int_Tables_number 1
_symmetry_space_group_name_Hall 'P 1'
_cell_length_a 5.466
_cell_length_b 5.466
_cell_length_c 5.466
_cell_angle_alpha 60.00
_cell_angle_beta 60.00
_cell_angle_gamma 60.00
loop_
_atom_site_label
_atom_site_fract_x
_atom_site_fract_y
_atom_site_fract_z
As1 0.374 0.374 0.374
As2 0.879 0.374 0.374
As3 0.374 0.879 0.374
As4 0.374 0.374 0.879
Ag1 0.000 0.000 0.000
Sc1 0.750 0.750 0.750
# Space group: No. 216
# Total energy, eV per atom: -5.001
# Calculated density, Mg/m³: 6.506


(7)
# Sc2AgAs, optimized geometry, DFT GGA-PBEsol
data_Sc2AgAs
_symmetry_space_group_name_H-M 'P 1'
_symmetry_Int_Tables_number 1
_symmetry_space_group_name_Hall 'P 1'
_cell_length_a 3.763
_cell_length_b 4.054
_cell_length_c 5.651
_cell_angle_alpha 111.02
_cell_angle_beta 109.45
_cell_angle_gamma 90.00
loop_
_atom_site_label
_atom_site_fract_x
_atom_site_fract_y
_atom_site_fract_z
Sc1 0.755 0.255 0.510
Sc2 0.996 0.996 0.991
As1 0.237 0.737 0.475
Ag1 0.512 0.512 0.023
# Space group: No. 44
# Total energy, eV per atom: -6.022
# Calculated density, Mg/m³: 6.024


(8)
# Ag3AsSe3, optimized geometry, DFT GGA-PBEsol
data_Ag3AsSe3
_symmetry_space_group_name_H-M 'P 1'
_symmetry_Int_Tables_number 1
_symmetry_space_group_name_Hall 'P 1'
_cell_length_a 7.862
_cell_length_b 11.309
_cell_length_c 20.535
_cell_angle_alpha 90.00
_cell_angle_beta 90.00
_cell_angle_gamma 90.00
loop_
_atom_site_label
_atom_site_fract_x
_atom_site_fract_y
_atom_site_fract_z
Se1 0.996 0.750 0.531
Se2 0.132 0.250 0.787
Se3 0.368 0.750 0.287
Se4 0.067 0.099 0.267
Se5 0.598 0.082 0.564
Se6 0.632 0.250 0.713
Se7 0.402 0.918 0.436
Se8 0.098 0.082 0.936
Se9 0.504 0.250 0.031
Se10 0.123 0.090 0.623
Se11 0.067 0.401 0.267
Se12 0.868 0.750 0.213
Se13 0.496 0.750 0.969
Se14 0.377 0.590 0.123
Se15 0.050 0.250 0.104
Se16 0.004 0.250 0.469
Se17 0.377 0.910 0.123
Se18 0.902 0.582 0.064
Se19 0.950 0.750 0.896
Se20 0.123 0.410 0.623
Se21 0.877 0.590 0.377
Se22 0.933 0.901 0.733
Se23 0.623 0.090 0.877
Se24 0.933 0.599 0.733
Se25 0.623 0.410 0.877
Se26 0.402 0.582 0.436
Se27 0.433 0.599 0.767
Se28 0.567 0.099 0.233
Se29 0.598 0.418 0.564
Se30 0.567 0.401 0.233
Se31 0.433 0.901 0.767
Se32 0.902 0.918 0.064
Se33 0.450 0.750 0.604
Se34 0.550 0.250 0.396
Se35 0.098 0.418 0.936
Se36 0.877 0.910 0.377
As1 0.236 0.750 0.396
As2 0.773 0.750 0.446
As3 0.287 0.750 0.703
As4 0.727 0.250 0.946
As5 0.273 0.750 0.054
As6 0.764 0.250 0.604
As7 0.227 0.250 0.554
As8 0.264 0.250 0.896
As9 0.713 0.250 0.297
As10 0.213 0.250 0.203
As11 0.736 0.750 0.104
As12 0.787 0.750 0.797
Ag1 0.664 0.516 0.676
Ag2 0.149 0.609 0.216
Ag3 0.649 0.609 0.284
Ag4 0.851 0.391 0.784
Ag5 0.118 0.037 0.441
Ag6 0.723 0.250 0.131
Ag7 0.776 0.931 0.945
Ag8 0.836 0.016 0.176
Ag9 0.836 0.484 0.176
Ag10 0.164 0.516 0.824
Ag11 0.276 0.569 0.555
Ag12 0.382 0.537 0.941
Ag13 0.224 0.069 0.055
Ag14 0.149 0.891 0.216
Ag15 0.724 0.431 0.445
Ag16 0.223 0.250 0.369
Ag17 0.777 0.750 0.631
Ag18 0.351 0.391 0.716
Ag19 0.882 0.963 0.559
Ag20 0.351 0.109 0.716
Ag21 0.277 0.750 0.869
Ag22 0.224 0.431 0.055
Ag23 0.618 0.037 0.059
Ag24 0.664 0.984 0.676
Ag25 0.618 0.463 0.059
Ag26 0.851 0.109 0.784
Ag27 0.882 0.537 0.559
Ag28 0.276 0.931 0.555
Ag29 0.649 0.891 0.284
Ag30 0.382 0.963 0.941
Ag31 0.336 0.484 0.324
Ag32 0.164 0.984 0.824
Ag33 0.118 0.463 0.441
Ag34 0.724 0.069 0.445
Ag35 0.776 0.569 0.945
Ag36 0.336 0.016 0.324
# Space group: No. 62
# Total energy, eV per atom: -3.872
# ΔE_f (raw), eV/atom: -0.07
# Calculated density, Mg/m³: 6.935
# ΔE to the lowest computed polymorph, meV per atom: 0


(9)
# AgAsSe3, optimized geometry, DFT GGA-PBEsol
data_AgAsSe3
_symmetry_space_group_name_H-M 'P 1'
_symmetry_Int_Tables_number 1
_symmetry_space_group_name_Hall 'P 1'
_cell_length_a 4.958
_cell_length_b 4.958
_cell_length_c 4.958
_cell_angle_alpha 90.00
_cell_angle_beta 90.00
_cell_angle_gamma 90.00
loop_
_atom_site_label
_atom_site_fract_x
_atom_site_fract_y
_atom_site_fract_z
Se1 0.000 0.000 0.500
Se2 0.000 0.500 0.000
Se3 0.500 0.000 0.000
Ag1 0.500 0.500 0.500
As1 0.000 0.000 0.000
# Space group: No. 221
# Total energy, eV per atom: -3.436
# ΔE_f (raw), eV/atom: 0.56
# Calculated density, Mg/m³: 5.718


(10)
# AgAsSe, optimized geometry, DFT GGA-PBEsol
data_AgAsSe
_symmetry_space_group_name_H-M 'P 1'
_symmetry_Int_Tables_number 1
_symmetry_space_group_name_Hall 'P 1'
_cell_length_a 2.777
_cell_length_b 2.777
_cell_length_c 7.777
_cell_angle_alpha 100.28
_cell_angle_beta 100.28
_cell_angle_gamma 90.00
loop_
_atom_site_label
_atom_site_fract_x
_atom_site_fract_y
_atom_site_fract_z
Se1 0.349 0.349 0.699
Ag1 0.004 0.004 0.008
As1 0.647 0.647 0.293
# Space group: No. 107
# Total energy, eV per atom: -3.852
# ΔE_f (raw), eV/atom: 0.24
# Calculated density, Mg/m³: 7.490


(11)
# AgAsSe, optimized geometry, DFT GGA-PBEsol
data_AgAsSe
_symmetry_space_group_name_H-M 'P 1'
_symmetry_Int_Tables_number 1
_symmetry_space_group_name_Hall 'P 1'
_cell_length_a 4.479
_cell_length_b 4.479
_cell_length_c 4.479
_cell_angle_alpha 60.00
_cell_angle_beta 60.00
_cell_angle_gamma 60.00
loop_
_atom_site_label
_atom_site_fract_x
_atom_site_fract_y
_atom_site_fract_z
Ag1 0.250 0.250 0.250
Se1 0.500 0.500 0.500
As1 0.000 0.000 0.000
# Space group: No. 216
# Total energy, eV per atom: -3.807
# ΔE_f (raw), eV/atom: 0.28
# Calculated density, Mg/m³: 6.843


(12)
# AgAsSe, optimized geometry, DFT GGA-PBEsol
data_AgAsSe
_symmetry_space_group_name_H-M 'P 1'
_symmetry_Int_Tables_number 1
_symmetry_space_group_name_Hall 'P 1'
_cell_length_a 4.045
_cell_length_b 6.044
_cell_length_c 12.190
_cell_angle_alpha 90.00
_cell_angle_beta 90.00
_cell_angle_gamma 90.00
loop_
_atom_site_label
_atom_site_fract_x
_atom_site_fract_y
_atom_site_fract_z
Se1 0.750 0.191 0.841
Se2 0.750 0.309 0.341
Se3 0.250 0.809 0.159
Se4 0.250 0.691 0.659
As1 0.750 0.126 0.515
As2 0.250 0.874 0.485
As3 0.750 0.374 0.015
As4 0.250 0.626 0.985
Ag1 0.750 0.076 0.162
Ag2 0.250 0.576 0.338
Ag3 0.750 0.424 0.662
Ag4 0.250 0.924 0.838
# Space group: No. 62
# Total energy, eV per atom: -4.106
# ΔE_f (raw), eV/atom: -0.02
# Calculated density, Mg/m³: 5.833


Number 1: total magnetization 0.00 μB per formula unit. Number 2: total magnetization 0.00 μB per formula unit. Number 3: total magnetization 0.00 μB per formula unit. Number 4: total magnetization 0.00 μB per formula unit. Number 5: total magnetization 0.00 μB per formula unit. Number 6: total magnetization 0.00 μB per formula unit. Number 7: total magnetization 0.00 μB per formula unit. Number 8: total magnetization 0.00 μB per formula unit. Number 9: total magnetization 0.00 μB per formula unit. Number 10: total magnetization 0.00 μB per formula unit. Number 11: total magnetization 0.00 μB per formula unit. Number 12: total magnetization 0.00 μB per formula unit.